The following is a PBE-GGA calculation of a relaxed structure of Ti2Zn6Pd, from Alexandria.

Properties
Final energy, eV per cell: -29.9
ΔE to the lowest computed polymorph, eV per atom: 0.000
Calculated formation energy, eV per atom: -0.14
Space group: P-3m1
D(E_F), states/eV per cell: 6.6
Total magnetization, μB per cell: 2.14

POSCAR file:
```
Ti2Zn6Pd
1.0
-1.952 3.693 -4.475
-4.737 -2.080 0.354
-3.499 2.056 3.228
Ti Zn Pd
2 6 1
direct
0.920 0.667 0.667
0.080 0.333 0.333
0.673 0.655 0.172
0.673 0.172 0.655
0.673 0.172 0.172
0.327 0.828 0.828
0.327 0.828 0.345
0.327 0.345 0.828
0.000 0.000 0.000
```

The following is a PBE-GGA calculation of a relaxed structure of Ba2PtNF, from Alexandria.

Properties
Final energy, eV per cell: -22.8
ΔE_f (raw), eV/f.u.: -2.7
Space group: P4/mmm
D(E_F), states/eV per cell: 2.1
Total magnetization, μB per cell: 0.68

POSCAR file:
```
Ba2PtNF
1.0
-0.069 0.124 5.372
0.949 -3.923 0.103
5.223 1.264 0.038
Ba Pt F N
2 1 1 1
direct
0.500 0.000 0.000
0.000 0.000 0.500
0.500 0.500 0.500
0.000 0.000 0.000
0.000 0.500 0.000
```